This record from Alexandria describes a relaxed structure of Y3HoGa3. The functional is PBE.

a b c (Å): 4.8076 9.1312 9.1312
angles (deg): 120.00 90.00 90.00
Sites, in units of the cell vectors:
Ga 0.2500 0.3918 0.9416
Ga 0.7500 0.6082 0.0584
Ga 0.2500 0.5499 0.6082
Y 0.2500 0.7446 0.9850
Y 0.2500 0.0150 0.7596
Y 0.2500 0.2404 0.2554
Y 0.7500 0.9850 0.2404
Ga 0.7500 0.9416 0.5499
Y 0.7500 0.2554 0.0150
Ho 0.2500 0.6667 0.3333
Y 0.7500 0.7596 0.7446
Ga 0.7500 0.4501 0.3918
Ga 0.2500 0.0584 0.4501
Ho 0.7500 0.3333 0.6667

Properties
energy of formation: -287 kJ/mol of formula units
DFT total energy: -5.147 eV/atom